[1]
The following is a GGA-PBE calculation of a relaxed Ba2PuMnTe5 crystal, from Alexandria via LeMat-Bulk.

Calculated values
- Spin magnetization: 2.4 μB per cell
- Energy: -5.74 eV per atom
- Crystal system: orthorhombic
- Uncorrected formation energy: -0.954 eV/atom

abc: 4.6724 17.4078 17.7474
angles: 90.00 90.00 90.00
Space group Cmc2_1 (No. 36)
Unique sites:
Ba 0.0000 0.1161 0.0000
Ba 0.0000 0.1179 0.6899
Pu 0.0000 0.2091 0.3544
Mn 0.0000 0.3753 0.7065
Te 0.0000 0.2108 0.1816
Te 0.0000 0.2257 0.5190
Te 0.0000 0.3824 0.3445
Te 0.0000 0.3996 0.8590
Te 0.0000 0.4914 0.6082



[2]
The following is a GGA-PBE calculation of a relaxed LiMgTa2 crystal, from Alexandria via LeMat-Bulk.

Calculated values
- Spin magnetization: 0.0 μB per cell
- Energy: -6.45 eV per atom
- ΔE_f: 0.35 eV per atom
- Crystal system: trigonal

abc: 2.8501 2.8501 31.5319
angles: 90.00 90.00 120.00
Space group R-3m (No. 166, hexagonal axes)
Unique sites:
Li 0.0000 0.0000 0.0000
Mg 0.0000 0.0000 0.5000
Ta 0.0000 0.0000 0.2501



[3]
The following is a GGA-PBE calculation of a relaxed HfBe2Fe2 crystal, from Alexandria via LeMat-Bulk.

Calculated values
- Spin magnetization: 5.9 μB per cell
- Energy: -6.86 eV per atom
- ΔE_f: 0.00 eV per atom
- Crystal system: tetragonal

abc: 6.7906 6.7906 2.5667
angles: 90.00 90.00 90.00
Space group P4/mbm (No. 127)
Unique sites:
Hf 0.0000 0.0000 0.0000
Be 0.1693 0.3307 0.5000
Fe 0.1234 0.6234 0.0000